The following is a PBE+U calculation of an optimized crystal structure of NaNbCo2O, from Alexandria.

Cell lengths 4.460, 6.701, 4.460 Å; angles 90.00, 90.00, 90.00 degrees
Each line ends with the local moment (μB).
Sites, in units of the cell vectors:
Na 0.000 0.500 0.000  -0.02
Nb 0.000 0.000 0.000  -0.97
Co 0.000 0.000 0.500  1.53
Co 0.500 0.000 0.000  1.25
O 0.500 0.500 0.500  0.81

Computed properties:
- Total moment: 2.60 μB per formula unit
- Total energy: -0.1306 hartree per atom